No. 1
Below is LaCuSCl2 after structural relaxation, with properties calculated at the PBE level.

Unit cell a=4.619 b=4.619 c=4.988 alpha=90.00 beta=90.00 gamma=90.00
Positions (direct):
La: 0.000 0.000 0.000
Cu: 0.500 0.500 0.500
S: 0.500 0.500 0.000
Cl: 0.000 0.500 0.500
Cl: 0.500 0.000 0.500

Summary:
**Raw formation energy**: -1.140 eV/atom
**Space-group type**: P4/mmm
**Final energy**: -4.51 eV per atom

No. 2
Below is Zn2SiAu after structural relaxation, with properties calculated at the PBE level.

Unit cell a=4.518 b=4.518 c=3.193 alpha=90.00 beta=90.00 gamma=90.00
Positions (direct):
Zn: 0.000 0.500 0.000
Zn: 0.500 0.000 0.000
Si: 0.000 0.000 0.500
Au: 0.500 0.500 0.500

Summary:
**Raw formation energy**: 0.159 eV/atom
**Space-group type**: P4/mmm
**Final energy**: -2.65 eV per atom

No. 3
Below is FeWSCl2 after structural relaxation, with properties calculated at the PBE level.

Unit cell a=4.898 b=4.898 c=4.625 alpha=90.00 beta=90.00 gamma=90.00
Positions (direct):
Fe: 0.000 0.000 0.000
W: 0.500 0.500 0.500
S: 0.500 0.500 0.000
Cl: 0.000 0.500 0.500
Cl: 0.500 0.000 0.500

Summary:
**Raw formation energy**: 0.568 eV/atom
**Space-group type**: P4/mmm
**Final energy**: -5.28 eV per atom

No. 4
Below is Tb7CeDy4 after structural relaxation, with properties calculated at the PBE level.

Unit cell a=6.644 b=6.644 c=12.701 alpha=114.43 beta=114.43 gamma=52.08
Positions (direct):
Tb: 0.000 0.000 0.000
Tb: 0.134 0.134 0.503
Tb: 0.295 0.295 0.077
Tb: 0.441 0.441 0.672
Tb: 0.559 0.559 0.328
Tb: 0.705 0.705 0.923
Tb: 0.866 0.866 0.497
Ce: 0.500 0.500 0.000
Dy: 0.133 0.133 0.775
Dy: 0.248 0.248 0.313
Dy: 0.752 0.752 0.687
Dy: 0.867 0.867 0.225

Summary:
**Space-group type**: C2/m
**Formation energy from the elements**: 275 meV/atom
**Final energy**: -4.45 eV per atom

No. 5
Below is CaMo3Os after structural relaxation, with properties calculated at the PBE level.

Unit cell a=4.476 b=4.476 c=4.476 alpha=90.00 beta=90.00 gamma=90.00
Positions (direct):
Ca: 0.000 0.000 0.000
Mo: 0.000 0.000 0.500
Mo: 0.000 0.500 0.000
Mo: 0.500 0.000 0.000
Os: 0.500 0.500 0.500

Summary:
**Space-group type**: Pm-3m
**Formation energy from the elements**: 2874 meV/atom
**Final energy**: -6.27 eV per atom

No. 6
Below is Tb6NdSm2Ho3 after structural relaxation, with properties calculated at the PBE level.

Unit cell a=6.188 b=6.188 c=11.835 alpha=94.98 beta=94.98 gamma=119.97
Positions (direct):
Tb: 0.085 0.419 0.753
Tb: 0.248 0.248 0.247
Tb: 0.419 0.085 0.753
Tb: 0.581 0.915 0.247
Tb: 0.752 0.752 0.753
Tb: 0.915 0.581 0.247
Nd: 0.000 0.000 0.500
Sm: 0.333 0.667 0.500
Sm: 0.667 0.333 0.500
Ho: 0.167 0.833 0.000
Ho: 0.500 0.500 0.000
Ho: 0.833 0.167 0.000

Summary:
**Space-group type**: C2/m
**Formation energy from the elements**: 16 meV/atom
**Final energy**: -4.63 eV per atom

No. 7
Below is Nd2ZnIr2Rh5 after structural relaxation, with properties calculated at the PBE level.

Unit cell a=9.560 b=9.560 c=3.938 alpha=90.00 beta=90.00 gamma=90.00
Positions (direct):
Nd: 0.168 0.332 0.000
Nd: 0.332 0.832 0.000
Nd: 0.668 0.168 0.000
Nd: 0.832 0.668 0.000
Zn: 0.000 0.000 0.000
Zn: 0.500 0.500 0.000
Ir: 0.132 0.632 0.000
Ir: 0.368 0.132 0.000
Ir: 0.632 0.868 0.000
Ir: 0.868 0.368 0.000
Rh: 0.000 0.500 0.500
Rh: 0.064 0.804 0.500
Rh: 0.196 0.064 0.500
Rh: 0.304 0.564 0.500
Rh: 0.436 0.304 0.500
Rh: 0.500 0.000 0.500
Rh: 0.564 0.696 0.500
Rh: 0.696 0.436 0.500
Rh: 0.804 0.936 0.500
Rh: 0.936 0.196 0.500

Summary:
**Space-group type**: P4/mbm
**Formation energy from the elements**: -276 meV/atom
**Final energy**: -6.80 eV per atom

No. 8
Below is PmTmAs2 after structural relaxation, with properties calculated at the PBE level.

Unit cell a=5.256 b=5.256 c=3.345 alpha=90.00 beta=90.00 gamma=90.00
Positions (direct):
Pm: 0.000 0.000 0.000
Tm: 0.500 0.500 0.000
As: 0.000 0.500 0.500
As: 0.500 0.000 0.500

Summary:
**Space-group type**: P4/mmm
**Formation energy from the elements**: -1025 meV/atom
**Final energy**: -5.66 eV per atom

No. 9
Below is SbIr after structural relaxation, with properties calculated at the PBE level.

Unit cell a=2.982 b=4.932 c=10.417 alpha=90.00 beta=90.00 gamma=90.00
Positions (direct):
Sb: 0.000 0.250 0.098
Sb: 0.000 0.750 0.902
Sb: 0.500 0.250 0.402
Sb: 0.500 0.750 0.598
Ir: 0.000 0.250 0.637
Ir: 0.000 0.750 0.363
Ir: 0.500 0.250 0.863
Ir: 0.500 0.750 0.137

Summary:
**Raw formation energy**: 0.286 eV/atom
**Space-group type**: Imma
**Final energy**: -6.21 eV per atom

No. 10
Below is Be5As after structural relaxation, with properties calculated at the PBE level.

Unit cell a=4.456 b=4.456 c=3.622 alpha=90.00 beta=90.00 gamma=120.00
Positions (direct):
Be: 0.000 0.500 0.000
Be: 0.333 0.667 0.500
Be: 0.500 0.000 0.000
Be: 0.500 0.500 0.000
Be: 0.667 0.333 0.500
As: 0.000 0.000 0.500

Summary:
**Space-group type**: P6/mmm
**Formation energy from the elements**: 332 meV/atom
**Final energy**: -3.55 eV per atom

No. 11
Below is NaPdO3 after structural relaxation, with properties calculated at the PBE level.

Unit cell a=5.537 b=5.537 c=7.080 alpha=90.00 beta=90.00 gamma=120.00
Positions (direct):
Na: 0.000 0.000 0.000
Na: 0.333 0.667 0.667
Na: 0.667 0.333 0.333
Pd: 0.000 0.000 0.496
Pd: 0.333 0.667 0.162
Pd: 0.667 0.333 0.829
O: 0.034 0.517 0.945
O: 0.150 0.299 0.278
O: 0.150 0.850 0.278
O: 0.367 0.184 0.611
O: 0.483 0.517 0.945
O: 0.483 0.966 0.945
O: 0.701 0.850 0.278
O: 0.816 0.184 0.611
O: 0.816 0.633 0.611

Summary:
**Raw formation energy**: -0.416 eV/atom
**Space-group type**: R3m
**Final energy**: -4.69 eV per atom

No. 12
Below is CaZrI2N after structural relaxation, with properties calculated at the PBE level.

Unit cell a=5.953 b=5.953 c=4.088 alpha=90.00 beta=90.00 gamma=90.00
Positions (direct):
Ca: 0.000 0.000 0.000
Zr: 0.500 0.500 0.500
I: 0.000 0.500 0.500
I: 0.500 0.000 0.500
N: 0.500 0.500 0.000

Summary:
**Raw formation energy**: -0.562 eV/atom
**Space-group type**: P4/mmm
**Final energy**: -4.96 eV per atom

Computed density of states at the Fermi level, in the same sequence as the records: 3.68 1.30 8.72 22.64 7.33 15.59 26.12 1.37 4.39 1.48 7.42 2.65 states/eV/cell.